1.
This record from the Alexandria database describes crystalline Ca2SiO at its relaxed geometry. The functional is PBE.

Values from the calculation:
Calculated total energy = -4.8710 eV per atom
ΔE_f (raw) = -5.1 eV per formula unit

Cell lengths 6.7519, 6.7519, 6.2790 Å; angles 57.48, 57.48, 90.00 degrees
Fractional coordinates of all 8 atoms:
Ca 0.5277 0.1250 0.2500
Si 0.0000 0.0000 0.0000
O 0.2500 0.7500 0.5000
Si 0.7500 0.2500 0.5000
Ca 0.8750 0.7777 0.7500
O 0.5000 0.5000 0.0000
Ca 0.3750 0.4723 0.7500
Ca 0.2223 0.6250 0.2500



2.
This record from the Alexandria database describes crystalline PrNd2Zn9 at its relaxed geometry. The functional is PBE.

Values from the calculation:
Calculated total energy = -2.4488 eV per atom
E_form = -300.4 meV/atom

Cell lengths 5.5459, 5.5459, 9.3276 Å; angles 72.71, 72.71, 60.00 degrees
Fractional coordinates of all 12 atoms:
Zn 0.9228 0.4167 0.2437
Zn 0.5833 0.5833 0.7563
Zn 0.3349 0.3349 0.9952
Nd 0.1413 0.1413 0.5761
Zn 0.5000 0.5000 0.5000
Zn 0.6651 0.6651 0.0048
Zn 0.0772 0.5833 0.7563
Zn 0.4167 0.9228 0.2437
Nd 0.8587 0.8587 0.4239
Pr 0.0000 0.0000 0.0000
Zn 0.4167 0.4167 0.2437
Zn 0.5833 0.0772 0.7563



3.
This record from the Alexandria database describes crystalline Li3IrC at its relaxed geometry. The functional is PBE.

Values from the calculation:
Calculated total energy = -3.8485 eV per atom
E_form = 916.7 meV/atom

Cell lengths 3.8841, 3.8841, 3.8841 Å; angles 90.00, 90.00, 90.00 degrees
Each line ends with the local moment (μB).
Fractional coordinates of all 5 atoms:
Li 0.0000 0.5000 0.0000  0.00
Li 0.5000 0.0000 0.0000  0.00
Ir 0.5000 0.5000 0.5000  0.79
Li 0.0000 0.0000 0.5000  0.01
C 0.0000 0.0000 0.0000  0.20



4.
This record from the Alexandria database describes crystalline Sc2Ta2C3 at its relaxed geometry. The functional is PBE.

Values from the calculation:
Calculated total energy = -9.7557 eV per atom
E_form = -607.1 meV/atom

Cell lengths 3.2691, 5.5472, 5.6503 Å; angles 102.76, 106.82, 90.00 degrees
Fractional coordinates of all 7 atoms:
Sc 0.3807 0.1365 0.7614
Sc 0.6193 0.8635 0.2386
C 0.0000 0.0000 0.0000
Ta 0.1385 0.3488 0.2771
Ta 0.8615 0.6512 0.7229
C 0.2528 0.7377 0.5055
C 0.7472 0.2623 0.4945



5.
This record from the Alexandria database describes crystalline YCdCo at its relaxed geometry. The functional is PBE.

Values from the calculation:
Calculated total energy = -4.7989 eV per atom
E_form = 29.5 meV/atom

Cell lengths 4.5411, 4.5411, 4.5411 Å; angles 60.00, 60.00, 60.00 degrees
Fractional coordinates of all 3 atoms:
Y 0.0000 0.0000 0.0000
Cd 0.5000 0.5000 0.5000
Co 0.7500 0.7500 0.7500



6.
This record from the Alexandria database describes crystalline CeEr2PuAs4 at its relaxed geometry. The functional is PBE.

Values from the calculation:
Calculated total energy = -7.3703 eV per atom
E_form = -1371.6 meV/atom

Cell lengths 4.1361, 7.1487, 7.1543 Å; angles 70.43, 90.00, 90.00 degrees
Each line ends with the local moment (μB).
Fractional coordinates of all 8 atoms:
Er 0.0000 0.0000 0.0000  -0.02
As 0.5000 0.7532 0.2507  -0.07
As 0.0000 0.2449 0.2526  -0.04
As 0.5000 0.2468 0.7493  -0.07
Pu 0.0000 0.5000 0.5000  5.10
Er 0.5000 0.0000 0.5000  0.01
As 0.0000 0.7551 0.7474  -0.04
Ce 0.5000 0.5000 0.0000  0.57



7.
This record from the Alexandria database describes crystalline UFe10Si2 at its relaxed geometry. The functional is PBE.

Values from the calculation:
Calculated total energy = -8.3684 eV per atom
ΔE_f (raw) = -2.0 eV per formula unit

Cell lengths 8.2326, 6.2925, 6.2874 Å; angles 81.75, 49.15, 49.10 degrees
Each line ends with the local moment (μB).
Fractional coordinates of all 13 atoms:
Si 0.5000 0.0000 0.5000  -0.07
Fe 0.5019 0.7193 0.2807  1.85
Fe 0.9971 0.6440 0.3560  2.22
Fe 0.0029 0.3560 0.6440  2.22
U 0.0000 0.0000 0.0000  -1.94
Fe 0.3560 0.0029 0.9971  2.22
Fe 0.5000 0.5000 0.0000  2.02
Fe 0.6440 0.9971 0.0029  2.22
Fe 0.0000 0.0000 0.5000  2.02
Si 0.0000 0.5000 0.0000  -0.07
Fe 0.2807 0.4981 0.5019  1.85
Fe 0.7193 0.5019 0.4981  1.85
Fe 0.4981 0.2807 0.7193  1.85



8.
This record from the Alexandria database describes crystalline CsNb2Br at its relaxed geometry. The functional is PBE.

Values from the calculation:
Calculated total energy = -3.9717 eV per atom
ΔE_f (raw) = 6.8 eV per formula unit

Cell lengths 4.9266, 4.9266, 4.9266 Å; angles 60.00, 60.00, 60.00 degrees
Fractional coordinates of all 4 atoms:
Nb 0.7500 0.7500 0.7500
Cs 0.5000 0.5000 0.5000
Br 0.0000 0.0000 0.0000
Nb 0.2500 0.2500 0.2500



9.
This record from the Alexandria database describes crystalline Mo2IrBr at its relaxed geometry. The functional is PBE.

Values from the calculation:
Calculated total energy = -7.4684 eV per atom
ΔE_f (raw) = 2.3 eV per formula unit

Cell lengths 4.2936, 2.8535, 5.5871 Å; angles 75.21, 90.00, 90.00 degrees
Fractional coordinates of all 4 atoms:
Br 0.0000 0.3154 0.4951
Mo 0.0000 0.0809 0.9624
Ir 0.5000 0.6709 0.7818
Mo 0.5000 0.4328 0.2607



10.
This record from the Alexandria database describes crystalline PmPr5 at its relaxed geometry. The functional is PBE.

Values from the calculation:
Calculated total energy = -4.7628 eV per atom
E_form = 11.9 meV/atom

Cell lengths 5.2396, 5.2327, 8.2908 Å; angles 108.40, 90.00, 90.00 degrees
Fractional coordinates of all 6 atoms:
Pm 0.0000 0.0000 0.0000
Pr 0.5000 0.1663 0.3327
Pr 0.5000 0.5000 0.0000
Pr 0.0000 0.3340 0.6680
Pr 0.0000 0.6660 0.3320
Pr 0.5000 0.8337 0.6673



11.
This record from the Alexandria database describes crystalline CdCu2Cl at its relaxed geometry. The functional is PBE.

Values from the calculation:
Calculated total energy = -2.7945 eV per atom
ΔE_f (raw) = -0.2 eV per formula unit

Cell lengths 4.9583, 4.9583, 7.7212 Å; angles 50.81, 50.81, 36.27 degrees
Fractional coordinates of all 4 atoms:
Cd 0.7500 0.7500 0.7500
Cu 0.9398 0.9398 0.9105
Cu 0.5602 0.5602 0.5895
Cl 0.2500 0.2500 0.2500



12.
This record from the Alexandria database describes crystalline LaSm10Y4 at its relaxed geometry. The functional is PBE.

Values from the calculation:
Calculated total energy = -4.7669 eV per atom
E_form = 431.4 meV/atom

Cell lengths 10.8335, 8.8648, 8.8648 Å; angles 68.08, 52.34, 52.34 degrees
Fractional coordinates of all 15 atoms:
Sm 0.2500 0.5000 0.5000
Sm 0.9473 0.6587 0.1054
Sm 0.0528 0.8946 0.6587
Sm 0.0527 0.3413 0.8946
Sm 0.7114 0.3413 0.8946
Y 0.4430 0.3373 0.7767
La 0.0000 0.0000 0.0000
Y 0.7803 0.7767 0.6627
Y 0.5570 0.6627 0.2233
Y 0.2197 0.2233 0.3373
Sm 0.7500 0.5000 0.5000
Sm 0.9472 0.1054 0.3413
Sm 0.2886 0.6587 0.1054
Sm 0.6060 0.1054 0.3413
Sm 0.3940 0.8946 0.6587



The highest calculated total energy belongs to which entry?
PrNd2Zn9